Density functional theory data (PBE) for a relaxed structure of Tl4GaBr7.

extended XYZ file:
```
12
Lattice="9.3669 -2.6514 0.0000 9.3669 2.6514 0.0000 -8.1926 0.0000 9.6531" Properties=species:S:1:pos:R:3 pbc="T T T"
Tl -0.0327 0.0000 2.6141
Tl -2.4374 0.0000 8.3430
Tl 12.9785 0.0000 1.3101
Tl 10.5738 0.0000 7.0390
Ga 5.2706 0.0000 4.8265
Br -4.0963 0.0000 4.8265
Br 2.2474 0.0000 0.1602
Br -0.3501 0.0000 6.0952
Br 6.1730 0.0000 2.7088
Br 4.3681 0.0000 6.9443
Br 10.8912 0.0000 3.5578
Br 8.2937 0.0000 9.4929
```

Calculated values
- Symmetry: C2/m
- Magnetic moment: 0.000 μB per atom
- Final energy: -2.704 eV per atom
- Calculated volume: 40.0 Å³/atom